Entry 1:
A geometry-optimized RbVSeO5 structure. Source: the Alexandria database, functional GGA+U.

a b c (Å): 7.730 7.970 9.549
angles (deg): 84.82 90.00 90.00
Atoms (fractional coordinates):
O1 0.189 0.025 0.670
O2 0.412 0.778 0.644
O3 0.689 0.975 0.330
O4 0.597 0.817 0.126
O5 0.818 0.241 0.705
O6 0.129 0.593 0.685
O7 0.318 0.759 0.295
O8 0.377 0.025 0.441
O9 0.877 0.975 0.559
O10 0.629 0.407 0.315
O11 0.933 0.576 0.305
O12 0.985 0.312 0.102
O13 0.855 0.932 0.850
O14 0.433 0.424 0.695
O15 0.355 0.068 0.150
O16 0.231 0.472 0.944
O17 0.912 0.222 0.356
O18 0.097 0.183 0.874
O19 0.485 0.688 0.898
O20 0.731 0.528 0.056
Se1 0.528 0.624 0.072
Se2 0.747 0.113 0.452
Se3 0.028 0.376 0.928
Se4 0.247 0.887 0.548
V1 0.825 0.423 0.237
V2 0.949 0.073 0.738
V3 0.325 0.577 0.763
V4 0.449 0.927 0.262
Rb1 0.989 0.912 0.141
Rb2 0.489 0.088 0.859
Rb3 0.767 0.608 0.595
Rb4 0.267 0.392 0.405

Space group: P2_1
Density (g/cm3): 3.35
Fermi-level density of states (states/eV/atom): 0.000
Energy above the most stable polymorph in this dataset (eV per atom): 0.000

Entry 2:
A geometry-optimized RbV3Se4O12 structure. Source: the Alexandria database, functional GGA+U.

a b c (Å): 7.159 7.159 7.159
angles (deg): 107.79 107.79 107.79
Atoms (fractional coordinates):
V1 0.584 0.416 0.000
V2 0.000 0.584 0.416
V3 0.416 0.000 0.584
Se1 0.500 0.500 0.500
Se2 0.500 0.889 0.111
Se3 0.111 0.500 0.889
Se4 0.889 0.111 0.500
O1 0.328 0.672 0.500
O2 0.115 0.885 0.500
O3 0.500 0.328 0.672
O4 0.952 0.287 0.372
O5 0.372 0.952 0.287
O6 0.287 0.372 0.952
O7 0.672 0.500 0.328
O8 0.048 0.628 0.713
O9 0.500 0.115 0.885
O10 0.885 0.500 0.115
O11 0.713 0.048 0.628
O12 0.628 0.713 0.048
Rb1 0.000 0.000 0.000

Space group: R32
Density (g/cm3): 4.15
Fermi-level density of states (states/eV/atom): 0.209
Raw total energy (eV/cell): -118.99

Entry 3:
A geometry-optimized RbVSe2O8 structure. Source: the Alexandria database, functional GGA+U.

a b c (Å): 5.084 5.084 9.296
angles (deg): 74.13 74.13 60.00
Atoms (fractional coordinates):
V1 0.000 0.000 0.000
O1 0.012 0.384 0.862
O2 0.795 0.795 0.614
O3 0.259 0.988 0.138
O4 0.988 0.616 0.138
O5 0.741 0.012 0.862
O6 0.205 0.205 0.386
O7 0.616 0.259 0.138
O8 0.384 0.741 0.862
Rb1 0.500 0.500 0.500
Se1 0.267 0.267 0.199
Se2 0.733 0.733 0.801

Space group: R-3
Density (g/cm3): 3.55
Fermi-level density of states (states/eV/atom): 0.000
Raw total energy (eV/cell): -69.28

Entry 4:
A geometry-optimized RbVSeO5 structure. Source: the Alexandria database, functional GGA+U.

a b c (Å): 5.893 5.893 7.245
angles (deg): 99.46 99.46 106.11
Atoms (fractional coordinates):
Rb1 0.655 0.345 0.750
Rb2 0.345 0.655 0.250
O1 0.050 0.950 0.250
O2 0.299 0.892 0.610
O3 0.320 0.176 0.041
O4 0.680 0.824 0.959
O5 0.892 0.299 0.110
O6 0.176 0.320 0.541
O7 0.824 0.680 0.459
O8 0.108 0.701 0.890
O9 0.701 0.108 0.390
O10 0.950 0.050 0.750
V1 0.000 0.000 0.000
V2 0.000 0.000 0.500
Se1 0.687 0.313 0.250
Se2 0.313 0.687 0.750

Space group: C2/c
Density (g/cm3): 4.22
Energy above the most stable polymorph in this dataset (eV per atom): 0.281